Density functional theory data (GGA+U) for a geometry-optimized WSeO2F structure.

Unit cell a=4.043 b=4.043 c=4.359 alpha=90.00 beta=90.00 gamma=90.00
Fractional positions:
W: 0.000 0.000 0.000
Se: 0.500 0.500 0.500
O: 0.000 0.500 0.000
O: 0.500 0.000 0.000
F: 0.000 0.000 0.500

Summary:
- Density: 7.31 g cm⁻³
- SG: P4/mmm, No. 123
- DFT total energy: -5.4843 eV per atom